# B7C3

A geometry-optimized B7C3 structure (PBE-GGA, Alexandria via LeMat-Bulk).

Output
volume	9.374	Å³/atom
energy relative to the lowest polymorph listed for this composition	0.106	eV/atom
formation enthalpy at 0 K	0.398	eV per atom
SG	No. 160

Unit cell a=15.1094 b=15.1094 c=15.1094 alpha=10.19 beta=10.19 gamma=10.19
Fractional positions:
1 B 0.0000 0.0000 0.0000
2 B 0.0371 0.0371 0.0371
3 B 0.1842 0.1842 0.1842
4 B 0.2728 0.2728 0.2728
5 B 0.3934 0.3934 0.3934
6 B 0.6438 0.6438 0.6438
7 B 0.7644 0.7644 0.7644
8 C 0.4281 0.4281 0.4281
9 C 0.6090 0.6090 0.6090
10 C 0.8509 0.8509 0.8509